## 1
Here is Sn2TeN2 after structural relaxation from Alexandria via LeMat-Bulk. Energies are from PBE.

```
Sn2TeN2
1.0
9.0136 0.0000 0.0000
0.0000 9.0136 0.0000
0.0000 0.0000 3.1125
Sn Te N
4 2 4
direct
0.2097 0.2903 0.0000
0.2903 0.7903 0.0000
0.7097 0.2097 0.0000
0.7903 0.7097 0.0000
0.0000 0.0000 0.0000
0.5000 0.5000 0.0000
0.0460 0.4540 0.5000
0.4540 0.9540 0.5000
0.5460 0.0460 0.5000
0.9540 0.5460 0.5000
```

---

## 2
Here is Sn2TeN2 after structural relaxation from Alexandria via LeMat-Bulk. Energies are from PBE.

```
Sn2TeN2
1.0
-1.9608 1.9608 6.4928
1.9608 -1.9608 6.4928
1.9608 1.9608 -6.4928
Sn Te N
2 1 2
direct
0.1762 0.1762 0.0000
0.8238 0.8238 0.0000
0.5000 0.5000 0.0000
0.2500 0.7500 0.5000
0.7500 0.2500 0.5000
```

---

1 has the most favorable energy; the next structure is 200 meV per atom above.

---

## 1
Here is SnTeN after structural relaxation from Alexandria via LeMat-Bulk. Energies are from PBE.

```
SnTeN
1.0
10.9068 0.0000 0.0000
0.0000 4.5567 0.0000
-1.3786 0.0000 9.0118
Sn Te N
4 4 4
direct
0.1245 0.2503 0.3962
0.1245 0.2497 0.8962
0.8755 0.7503 0.1038
0.8755 0.7497 0.6038
0.1471 0.7501 0.1515
0.1471 0.7499 0.6515
0.8529 0.2501 0.3485
0.8529 0.2499 0.8485
0.4716 0.0827 0.4650
0.4716 0.4173 0.9650
0.5284 0.5827 0.0350
0.5284 0.9173 0.5350
```

---

## 2
Here is SnTeN after structural relaxation from Alexandria via LeMat-Bulk. Energies are from PBE.

```
SnTeN
1.0
3.0292 -1.7546 0.0000
3.0292 1.7546 0.0000
-0.0361 0.0000 12.1769
Sn Te N
2 2 2
direct
0.0000 0.0000 0.0000
0.6597 0.6597 0.2545
0.3265 0.3265 0.5169
0.6637 0.6637 0.7374
0.3268 0.3268 0.3427
0.6659 0.6659 0.9118
```

---

1 has the most favorable energy; the next structure is 542 meV per atom above.

---

## 1
Here is TiSnTe2N after structural relaxation from Alexandria via LeMat-Bulk. Energies are from PBE.

```
TiSnTe2N
1.0
5.6494 0.0000 0.0000
0.0000 5.6494 0.0000
0.0000 0.0000 3.7767
Ti Sn Te N
1 1 2 1
direct
0.0000 0.0000 0.0000
0.5000 0.5000 0.5000
0.0000 0.5000 0.0000
0.5000 0.0000 0.0000
0.0000 0.0000 0.5000
```

---

## 2
Here is TiSnTe2N after structural relaxation from Alexandria via LeMat-Bulk. Energies are from PBE.

```
TiSnTe2N
1.0
5.7740 0.0000 0.0000
0.0000 5.7740 0.0000
0.0000 0.0000 3.9299
Ti Sn Te N
1 1 2 1
direct
0.0000 0.0000 0.0000
0.5000 0.5000 0.5000
0.0000 0.5000 0.5000
0.5000 0.0000 0.5000
0.5000 0.5000 0.0000
```

---

1 has the most favorable energy; the next structure is 943 meV per atom above.

---

## 1
Here is TiSnTeN2 after structural relaxation from Alexandria via LeMat-Bulk. Energies are from PBE.

```
TiSnTeN2
1.0
4.0776 0.0000 0.0000
0.0000 4.0776 0.0000
0.0000 0.0000 5.6378
Ti Sn Te N
1 1 1 2
direct
0.0000 0.0000 0.0000
0.5000 0.5000 0.5000
0.0000 0.0000 0.5000
0.0000 0.5000 0.0000
0.5000 0.0000 0.0000
```

---

## 2
Here is TiSnTeN2 after structural relaxation from Alexandria via LeMat-Bulk. Energies are from PBE.

```
TiSnTeN2
1.0
4.0632 0.0000 0.0000
0.0000 4.0632 0.0000
0.0000 0.0000 6.0035
Ti Sn Te N
1 1 1 2
direct
0.0000 0.0000 0.0000
0.5000 0.5000 0.5000
0.5000 0.5000 0.0000
0.0000 0.5000 0.5000
0.5000 0.0000 0.5000
```

---

1 has the most favorable energy; the next structure is 871 meV per atom above.

---

## 1
Here is TlSnTeN2 after structural relaxation from Alexandria via LeMat-Bulk. Energies are from PBE.

```
TlSnTeN2
1.0
4.5171 0.0000 0.0000
0.0000 4.5171 0.0000
0.0000 0.0000 6.1874
Tl Sn Te N
1 1 1 2
direct
0.0000 0.0000 0.0000
0.5000 0.5000 0.5000
0.0000 0.0000 0.5000
0.0000 0.5000 0.0000
0.5000 0.0000 0.0000
```

---

## 2
Here is TlSnTeN2 after structural relaxation from Alexandria via LeMat-Bulk. Energies are from PBE.

```
TlSnTeN2
1.0
4.3342 0.0000 0.0000
0.0000 4.3342 0.0000
0.0000 0.0000 6.0731
Tl Sn Te N
1 1 1 2
direct
0.0000 0.0000 0.0000
0.5000 0.5000 0.5000
0.5000 0.5000 0.0000
0.0000 0.5000 0.5000
0.5000 0.0000 0.5000
```

---

2 has the most favorable energy; the next structure is 445 meV per atom above.

---

## 1
Here is YSnTe2N after structural relaxation from Alexandria via LeMat-Bulk. Energies are from PBE.

```
YSnTe2N
1.0
5.9730 0.0000 0.0000
0.0000 5.9730 0.0000
0.0000 0.0000 4.3622
Y Sn Te N
1 1 2 1
direct
0.0000 0.0000 0.0000
0.5000 0.5000 0.5000
0.0000 0.5000 0.0000
0.5000 0.0000 0.0000
0.0000 0.0000 0.5000
```

---

## 2
Here is YSnTe2N after structural relaxation from Alexandria via LeMat-Bulk. Energies are from PBE.

```
YSnTe2N
1.0
5.7760 0.0000 0.0000
0.0000 5.7760 0.0000
0.0000 0.0000 4.0165
Y Sn Te N
1 1 2 1
direct
0.0000 0.0000 0.0000
0.5000 0.5000 0.5000
0.0000 0.5000 0.5000
0.5000 0.0000 0.5000
0.5000 0.5000 0.0000
```

---

1 has the most favorable energy; the next structure is 84 meV per atom above.